Entry 1:
First-principles (PBE) data for a relaxed structure of CaMg2Te, as listed in the Alexandria database.

The structure in extended XYZ format:
```
8
Lattice="4.389 0.000 0.000 0.000 4.919 0.000 0.000 0.000 10.028" Properties=species:S:1:pos:R:3 pbc="T T T"
Ca 0.000 0.000 0.000
Ca 2.195 2.459 5.014
Mg 0.000 0.000 5.266
Mg 0.000 2.459 7.641
Mg 2.195 0.000 2.627
Mg 2.195 2.459 0.251
Te 0.000 2.459 2.546
Te 2.195 0.000 7.560
```

Computed properties:
SG: Imm2
ΔE_f (raw) in eV per atom: -0.405

Entry 2:
First-principles (PBE) data for a relaxed structure of HoThSb, as listed in the Alexandria database.

The structure in extended XYZ format:
```
3
Lattice="5.210 0.000 0.000 -2.605 4.512 0.000 0.000 0.000 3.854" Properties=species:S:1:pos:R:3 pbc="T T T"
Ho 0.000 0.000 0.000
Th 0.000 3.008 1.943
Sb 2.605 1.504 0.480
```

Computed properties:
SG: P3m1
ΔE_f (raw) in eV per atom: -0.268

Entry 3:
First-principles (PBE) data for a relaxed structure of NaTi3Au, as listed in the Alexandria database.

The structure in extended XYZ format:
```
5
Lattice="4.629 0.000 0.000 0.000 4.629 0.000 0.000 0.000 4.629" Properties=species:S:1:pos:R:3 pbc="T T T"
Na 0.000 0.000 0.000
Ti 0.000 0.000 2.314
Ti 0.000 2.314 0.000
Ti 2.314 0.000 0.000
Au 2.314 2.314 2.314
```

Computed properties:
SG: Pm-3m
Energy above the most stable polymorph in this dataset in eV/atom: 0.7025
Energy of formation from the pure elements in eV/f.u.: 7.521

Entry 4:
First-principles (PBE) data for a relaxed structure of TlIrSe2, as listed in the Alexandria database.

The structure in extended XYZ format:
```
12
Lattice="3.860 0.000 0.000 -1.930 3.343 0.000 0.000 0.000 22.212" Properties=species:S:1:pos:R:3 pbc="T T T"
Tl 0.000 0.000 0.000
Tl 0.000 2.228 14.808
Tl 1.930 1.114 7.404
Ir 0.000 0.000 18.605
Ir 0.000 2.228 11.201
Ir 1.930 1.114 3.797
Se 0.000 0.000 5.005
Se 0.000 0.000 9.985
Se 0.000 2.228 2.581
Se 0.000 2.228 19.814
Se 1.930 1.114 12.409
Se 1.930 1.114 17.390
```

Computed properties:
SG: R3m
Energy above the most stable polymorph in this dataset in eV/atom: 0.0179
ΔE_f (raw) in eV per atom: -0.290

no.,total DFT energy (no corrections) (eV/atom)
1,-2.488
2,-5.641
3,-4.152
4,-4.839